1.
DFT (PBE) results for YCu2Au after structural relaxation.

As for the crystal system: tetragonal. For the formation energy from the elements, the calculation gives -0.082 eV/atom. The energy above the most stable polymorph in this dataset comes out at 0.280 eV/atom. Its total DFT energy (no corrections) is -4.57 eV per atom.

The space group is I-42d (No. 122) and the conventional cell measures 4.252, 4.252 and 18.307 Å, with angles of 90.00, 90.00 and 90.00 degrees. The inequivalent atoms are Y at (0.000, 0.000, 0.000), Cu at (0.126, 0.250, 0.625) and Au at (0.000, 0.000, 0.500).

2.
DFT (PBE) results for CePmSn6 after structural relaxation.

As for the crystal system: tetragonal. For the formation energy from the elements, the calculation gives -0.511 eV/atom. Its total DFT energy (no corrections) is -4.85 eV per atom.

The space group is P4/mmm (No. 123) and the conventional cell measures 4.739, 4.739 and 9.475 Å, with angles of 90.00, 90.00 and 90.00 degrees. The inequivalent atoms are Ce at (0.000, 0.000, 0.000), Pm at (0.000, 0.000, 0.500), Sn at (0.000, 0.500, 0.248), Sn at (0.500, 0.500, 0.000) and Sn at (0.500, 0.500, 0.500).